# PrCr2GeO6

A geometry-optimized PrCr2GeO6 structure (GGA+U, the Alexandria database).

a b c (Å): 5.3556 5.3318 5.6531
angles (deg): 64.63 64.67 58.96
Site moments in Bohr magnetons follow the coordinates.
Sites, in units of the cell vectors:
O  0.9698  0.5999  0.2152  0.01
O  0.1501  0.3408  0.7829  0.00
O  0.6010  0.2368  0.2217  -0.02
O  0.7127  0.1694  0.7618  -0.02
O  0.3468  0.7173  0.7602  -0.03
O  0.2532  0.9464  0.2132  -0.03
Cr  0.5117  0.5347  0.4286  3.74
Cr  0.0102  0.0081  0.9771  3.02
Pr  0.7833  0.7888  0.6196  0.03
Ge  0.3228  0.3194  0.0348  0.04

Properties
Space-group type: P1 (1)
Total magnetization: 7.00 μB per formula unit
Uncorrected energy: -75.03 eV/cell